# 1
VASP calculation (PBE-GGA) on a geometry-optimized HoThTeOs structure.

It has space group R3m (No. 160, hexagonal axes), with a = 4.1432 Å, b = 4.1432 Å, c = 22.6022 Å, α = 90.00°, β = 90.00° and γ = 120.00°. The asymmetric unit holds Ho at (0.0000, 0.0000, 0.0000), Th at (0.0000, 0.0000, 0.8014), Te at (0.0000, 0.0000, 0.5729) and Os at (0.0000, 0.0000, 0.4027).

The formation energy (no corrections) is -62.0 kJ/mol of atoms. The value obtained for the uncorrected energy is -28.940 eV/f.u.


# 2
VASP calculation (PBE-GGA) on a geometry-optimized Ho2ThOs9 structure.

It has space group R-3m (No. 166, hexagonal axes), with a = 5.3427 Å, b = 5.3427 Å, c = 26.1267 Å, α = 90.00°, β = 90.00° and γ = 120.00°. The asymmetric unit holds Ho at (0.0000, 0.0000, 0.1407), Th at (0.0000, 0.0000, 0.0000), Os at (0.0000, 0.0000, 0.3394), Os at (0.0000, 0.0000, 0.5000) and Os at (0.0121, 0.5060, 0.9160).

As for the formation energy from the elements: -122 meV/atom. The value obtained for the uncorrected energy is -119.110 eV/f.u.


# 3
VASP calculation (PBE-GGA) on a geometry-optimized Ho2ThOs structure.

It has space group P2_1/m (No. 11), with a = 3.912 Å, b = 9.266 Å, c = 6.355 Å, α = 90.00°, β = 107.87° and γ = 90.00°. The asymmetric unit holds Ho at (0.146, 0.070, 0.292), Th at (0.425, 0.250, 0.849) and Os at (0.237, 0.750, 0.475).

As for the formation energy from the elements: -232 meV/atom. The value obtained for the uncorrected energy is -28.732 eV/f.u. Its polymorph energy (0 for the lowest one) is 0 meV/atom.


# 4
VASP calculation (PBE-GGA) on a geometry-optimized HoThOs2 structure.

It has space group Fm-3m (No. 225), with a = 6.972 Å, b = 6.972 Å, c = 6.972 Å, α = 90.00°, β = 90.00° and γ = 90.00°. The asymmetric unit holds Ho at (0.000, 0.000, 0.000), Th at (0.000, 0.000, 0.500) and Os at (0.250, 0.250, 0.250).

As for the formation energy from the elements: -177 meV/atom. The value obtained for the uncorrected energy is -35.165 eV/f.u. Its polymorph energy (0 for the lowest one) is 3 meV/atom.


# 5
VASP calculation (PBE-GGA) on a geometry-optimized HoTh4Os4 structure.

It has space group P4_2/n (No. 86, origin choice 2), with a = 9.023 Å, b = 9.023 Å, c = 5.668 Å, α = 90.00°, β = 90.00° and γ = 90.00°. The asymmetric unit holds Ho at (0.250, 0.250, 0.250), Th at (0.061, 0.665, 0.162) and Os at (0.031, 0.625, 0.652).

As for the formation energy from the elements: -211 meV/atom. The value obtained for the uncorrected energy is -81.074 eV/f.u.


# 6
VASP calculation (PBE-GGA) on a geometry-optimized Ho2ThOs structure.

It has space group P4/mmm (No. 123), with a = 3.424 Å, b = 3.424 Å, c = 8.934 Å, α = 90.00°, β = 90.00° and γ = 90.00°. The asymmetric unit holds Ho at (0.000, 0.000, 0.183), Th at (0.500, 0.500, 0.500) and Os at (0.500, 0.500, 0.000).

As for the formation energy from the elements: -91 meV/atom. The value obtained for the uncorrected energy is -28.169 eV/f.u. Its polymorph energy (0 for the lowest one) is 141 meV/atom.


# 7
VASP calculation (PBE-GGA) on a geometry-optimized HoThOs2 structure.

It has space group P4/mmm (No. 123), with a = 4.920 Å, b = 4.920 Å, c = 3.493 Å, α = 90.00°, β = 90.00° and γ = 90.00°. The asymmetric unit holds Ho at (0.000, 0.000, 0.000), Th at (0.500, 0.500, 0.000) and Os at (0.000, 0.500, 0.500).

As for the formation energy from the elements: -180 meV/atom. The value obtained for the uncorrected energy is -35.178 eV/f.u. Its polymorph energy (0 for the lowest one) is 0 meV/atom.


# 8
VASP calculation (PBE-GGA) on a geometry-optimized Ho2ThOs structure.

It has space group R-3m (No. 166, hexagonal axes), with a = 3.3624 Å, b = 3.3624 Å, c = 32.9735 Å, α = 90.00°, β = 90.00° and γ = 120.00°. The asymmetric unit holds Ho at (0.0000, 0.0000, 0.1043), Th at (0.0000, 0.0000, 0.0000) and Os at (0.0000, 0.0000, 0.5000).

As for the formation energy from the elements: 269 meV/atom. The value obtained for the uncorrected energy is -26.727 eV/f.u. Its polymorph energy (0 for the lowest one) is 501 meV/atom.